Material: Pr2DyYHo2
Method: DFT, PBE
State: relaxed

The structure belongs to space group Pmma (No. 51); the cell edges are 7.068, 5.678 and 9.844 Å and the angles 90.00°, 90.00° and 90.00°. Symmetry generates all atoms from Pr at (0.000, 0.000, 0.000), Pr at (0.250, 0.500, 0.176), Dy at (0.250, 0.000, 0.660), Y at (0.000, 0.500, 0.500), Ho at (0.250, 0.000, 0.333) and Ho at (0.250, 0.500, 0.836).

Its total moment is 0.00 μB/f.u. As for the energy relative to the elements: 0.4 eV per formula unit.


Material: PrDy2Y3Ho6
Method: DFT, PBE
State: relaxed

The structure belongs to space group C2/m (No. 12); the cell edges are 6.160, 10.658 and 11.783 Å and the angles 90.00°, 99.99° and 90.00°. Symmetry generates all atoms from Pr at (0.000, 0.000, 0.000), Dy at (0.000, 0.333, 0.000), Y at (0.000, 0.167, 0.500), Y at (0.000, 0.500, 0.500), Ho at (0.248, 0.333, 0.749) and Ho at (0.250, 0.000, 0.749).

Its total moment is 0.00 μB/f.u. As for the energy relative to the elements: 0.2 eV per formula unit.


Material: Pr3Dy2YHo6
Method: DFT, PBE
State: relaxed

The structure belongs to space group C2/m (No. 12); the cell edges are 6.212, 10.755 and 11.824 Å and the angles 90.00°, 100.06° and 90.00°. Symmetry generates all atoms from Pr at (0.000, 0.000, 0.000), Pr at (0.000, 0.333, 0.000), Dy at (0.000, 0.167, 0.500), Y at (0.000, 0.500, 0.500), Ho at (0.248, 0.000, 0.746) and Ho at (0.249, 0.333, 0.746).

Its total moment is 0.00 μB/f.u. As for the energy relative to the elements: 0.2 eV per formula unit.


Total energy values (in eV per atom) by entry order: -4.90, -5.05, -4.77.